1.
5
Lattice="-3.0533 3.1474 -0.6505 -1.9859 -2.5531 -3.0315 -2.0097 -1.4288 2.5199" Properties=species:S:1:pos:R:3 comment="VPOF2 PBE+U relaxed" sg="P4/mmm (123)" final_energy_ev_per_fu=-25.26 pbc="T T T"
V -3.5244 -0.4173 -0.5811
F -1.5266 1.5737 -0.3253
F -0.9929 -1.2765 -1.5157
O -1.0049 -0.7144 1.2599
P 0.0000 0.0000 0.0000

2.
5
Lattice="4.7888 0.0000 0.0000 0.0000 4.7888 0.0000 0.0000 0.0000 3.8500" Properties=species:S:1:pos:R:3 comment="P2WOF PBE+U relaxed" sg="P4/mmm (123)" final_energy_ev_per_fu=-25.58 pbc="T T T"
W 0.0000 0.0000 0.0000
F 2.3944 2.3944 1.9250
P 2.3944 0.0000 0.0000
P 0.0000 2.3944 0.0000
O 0.0000 0.0000 1.9250

3.
5
Lattice="4.3351 0.0000 0.0000 0.0000 4.3351 0.0000 0.0000 0.0000 3.8977" Properties=species:S:1:pos:R:3 comment="PWOF2 PBE+U relaxed" sg="P4/mmm (123)" final_energy_ev_per_fu=-25.20 pbc="T T T"
F 0.0000 2.1675 0.0000
F 2.1675 0.0000 0.0000
W 0.0000 0.0000 0.0000
O 0.0000 0.0000 1.9488
P 2.1675 2.1675 1.9488

4.
5
Lattice="4.6251 0.0000 0.0000 0.0000 4.6251 0.0000 0.0000 0.0000 3.5047" Properties=species:S:1:pos:R:3 comment="PWOF2 PBE+U relaxed" sg="P4/mmm (123)" final_energy_ev_per_fu=-23.17 pbc="T T T"
F 0.0000 2.3125 0.0000
F 2.3125 0.0000 0.0000
O 0.0000 0.0000 1.7523
P 0.0000 0.0000 0.0000
W 2.3125 2.3125 1.7523

no.,ρ (g/cm3)
1,3.257
2,5.281
3,6.094
4,5.954